Record 1
Crystalline LaCo2SnS at its relaxed geometry, computed with PBE.

Calculated values
- Raw formation energy: -127 meV/atom
- Space-group type: P4/mmm
- Total magnetization: 2.98 μB/f.u.
- V: 105.9 Å³/f.u.

```
LaCo2SnS
1.0
4.396 0.000 0.000
0.000 4.396 0.000
0.000 0.000 5.480
La Co Sn S
1 2 1 1
direct
0.000 0.000 0.000
0.000 0.500 0.500
0.500 0.000 0.500
0.500 0.500 0.000
0.000 0.000 0.500
```


Record 2
Crystalline LaCo2TcS at its relaxed geometry, computed with PBE.

Calculated values
- Raw formation energy: 605 meV/atom
- Space-group type: P4/mmm
- Total magnetization: 1.59 μB/f.u.
- V: 113.2 Å³/f.u.

```
LaCo2TcS
1.0
4.333 0.000 0.000
0.000 4.333 0.000
0.000 0.000 6.030
La Co Tc S
1 2 1 1
direct
0.000 0.000 0.000
0.000 0.500 0.500
0.500 0.000 0.500
0.000 0.000 0.500
0.500 0.500 0.000
```


Record 3
Crystalline LaCoTc2S at its relaxed geometry, computed with PBE.

Calculated values
- Raw formation energy: 41 meV/atom
- Space-group type: P4/mmm
- Total magnetization: 0.00 μB/f.u.
- V: 87.1 Å³/f.u.

```
LaCoTc2S
1.0
4.544 0.000 0.000
0.000 4.544 0.000
0.000 0.000 4.216
La Co Tc S
1 1 2 1
direct
0.000 0.000 0.000
0.500 0.500 0.000
0.000 0.500 0.500
0.500 0.000 0.500
0.500 0.500 0.500
```


Record 4
Crystalline LaUCoS4 at its relaxed geometry, computed with PBE.

Calculated values
- Raw formation energy: -1390 meV/atom
- Space-group type: P2_1/m
- Total magnetization: 0.99 μB/f.u.
- V: 139.0 Å³/f.u.

```
LaUCoS4
1.0
6.348 0.000 0.000
0.000 5.772 0.000
-2.265 0.000 7.590
La U Co S
2 2 2 8
direct
0.240 0.250 0.436
0.760 0.750 0.564
0.255 0.250 0.944
0.745 0.750 0.056
0.264 0.750 0.171
0.736 0.250 0.829
0.070 0.750 0.365
0.073 0.750 0.900
0.481 0.510 0.759
0.481 0.990 0.759
0.519 0.010 0.241
0.519 0.490 0.241
0.927 0.250 0.100
0.930 0.250 0.635
```


Record 5
Crystalline LaV2CoS at its relaxed geometry, computed with PBE.

Calculated values
- Raw formation energy: 250 meV/atom
- Space-group type: P4/mmm
- Total magnetization: 4.18 μB/f.u.
- V: 102.9 Å³/f.u.

```
LaV2CoS
1.0
4.349 0.000 0.000
0.000 4.349 0.000
0.000 0.000 5.438
La V Co S
1 2 1 1
direct
0.000 0.000 0.000
0.000 0.500 0.500
0.500 0.000 0.500
0.500 0.500 0.000
0.000 0.000 0.500
```


Record 6
Crystalline La3CoSb at its relaxed geometry, computed with PBE.

Calculated values
- Raw formation energy: -540 meV/atom
- Space-group type: Pm-3m
- Total magnetization: 0.00 μB/f.u.
- V: 148.1 Å³/f.u.

```
La3CoSb
1.0
5.291 0.000 0.000
0.000 5.291 0.000
0.000 0.000 5.291
La Co Sb
3 1 1
direct
0.000 0.000 0.500
0.000 0.500 0.000
0.500 0.000 0.000
0.000 0.000 0.000
0.500 0.500 0.500
```


Record 7
Crystalline LaCo2Sb at its relaxed geometry, computed with PBE.

Calculated values
- Raw formation energy: 275 meV/atom
- Space-group type: F-43m
- Total magnetization: 3.25 μB/f.u.
- V: 82.1 Å³/f.u.

```
LaCo2Sb
1.0
0.000 3.449 3.449
3.449 0.000 3.449
3.449 3.449 0.000
La Co Sb
1 2 1
direct
0.000 0.000 0.000
0.250 0.250 0.250
0.500 0.500 0.500
0.750 0.750 0.750
```


Record 8
Crystalline La4CoSb at its relaxed geometry, computed with PBE.

Calculated values
- Raw formation energy: -464 meV/atom
- Space-group type: P2_1/m
- Total magnetization: 0.00 μB/f.u.
- V: 186.4 Å³/f.u.

```
La4CoSb
1.0
6.378 0.000 0.000
0.000 6.994 0.000
-0.862 0.000 8.358
La Co Sb
8 2 2
direct
0.076 0.250 0.067
0.164 0.750 0.388
0.404 0.501 0.788
0.404 0.999 0.788
0.596 0.001 0.212
0.596 0.499 0.212
0.836 0.250 0.612
0.924 0.750 0.933
0.336 0.750 0.071
0.664 0.250 0.929
0.287 0.250 0.447
0.713 0.750 0.553
```


Record 9
Crystalline LaCoSb2 at its relaxed geometry, computed with PBE.

Calculated values
- Raw formation energy: 0 meV/atom
- Space-group type: F-43m
- Total magnetization: 1.33 μB/f.u.
- V: 98.3 Å³/f.u.

```
LaCoSb2
1.0
0.000 3.663 3.663
3.663 0.000 3.663
3.663 3.663 0.000
La Co Sb
1 1 2
direct
0.000 0.000 0.000
0.750 0.750 0.750
0.250 0.250 0.250
0.500 0.500 0.500
```


Record 10
Crystalline LaCoSb2 at its relaxed geometry, computed with PBE.

Calculated values
- Raw formation energy: -422 meV/atom
- Space-group type: Cm
- Total magnetization: 0.00 μB/f.u.
- V: 106.4 Å³/f.u.

```
LaCoSb2
1.0
5.726 -2.058 0.000
5.726 2.058 0.000
-2.134 0.000 4.515
La Co Sb
1 1 2
direct
0.000 0.000 0.000
0.815 0.815 0.536
0.219 0.219 0.703
0.388 0.388 0.346
```


Record 11
Crystalline La3Co3Sb at its relaxed geometry, computed with PBE.

Calculated values
- Raw formation energy: -364 meV/atom
- Space-group type: P6_3/m
- Total magnetization: 2.27 μB/f.u.
- V: 170.6 Å³/f.u.

```
La3Co3Sb
1.0
9.537 0.000 0.000
-4.768 8.259 0.000
0.000 0.000 4.331
La Co Sb
6 6 2
direct
0.068 0.383 0.250
0.314 0.932 0.250
0.383 0.314 0.750
0.617 0.686 0.250
0.686 0.068 0.750
0.932 0.617 0.750
0.007 0.145 0.750
0.138 0.993 0.750
0.145 0.138 0.250
0.855 0.862 0.750
0.862 0.007 0.250
0.993 0.855 0.250
0.333 0.667 0.750
0.667 0.333 0.250
```


Record 12
Crystalline LaCo2Sb at its relaxed geometry, computed with PBE.

Calculated values
- Raw formation energy: -351 meV/atom
- Space-group type: R3m
- Total magnetization: 1.53 μB/f.u.
- V: 82.5 Å³/f.u.

```
LaCo2Sb
1.0
2.067 1.193 5.580
-2.067 1.193 5.580
0.000 -2.386 5.580
La Co Sb
1 2 1
direct
0.000 0.000 0.000
0.214 0.214 0.214
0.543 0.543 0.543
0.807 0.807 0.807
```


no.,energy (eV per atom),DOS(E_F) (states/eV per cell)
1,-5.581,5.31
2,-6.122,7.62
3,-7.338,4.54
4,-7.080,11.95
5,-6.629,5.71
6,-5.742,3.28
7,-5.541,7.93
8,-5.621,14.42
9,-5.069,2.90
10,-5.491,1.26
11,-6.110,16.72
12,-6.166,5.26